Record 1
Density functional theory data (meta-GGA SCAN) for a crystal of P2PbS2 relaxed with PBEsol.

**Formation energy without anion corrections**: 1.605 eV/atom
**M_tot**: 0.893 μB/f.u.
**Crystal system**: tetragonal

a b c (Å): 5.194 5.194 4.927
angles (deg): 90.00 90.00 90.00
Space group P4/mmm (No. 123)
Symmetry-distinct sites (fractional):
1 P 0.000 0.500 0.000
2 Pb 0.000 0.000 0.000
3 S 0.000 0.000 0.500
4 S 0.500 0.500 0.500

***

Record 2
Density functional theory data (meta-GGA SCAN) for a crystal of LiSiMo relaxed with PBEsol.

**Formation energy without anion corrections**: 0.180 eV/atom
**M_tot**: 0.004 μB/f.u.
**Crystal system**: trigonal

a b c (Å): 2.7616 2.7616 6.6810
angles (deg): 90.00 90.00 120.00
Space group P3m1 (No. 156)
Symmetry-distinct sites (fractional):
1 Li 0.0000 0.0000 0.0000
2 Si 0.6667 0.3333 0.3259
3 Mo 0.3333 0.6667 0.6334

***

| no. | E above lowest polymorph (eV/atom) |
| --- | --- |
| 1 | 0.165 |
| 2 | 0.033 |